Material: Hf2CrO
Method: DFT, GGA+U
State: relaxed

```
Hf2CrO
1.0
-3.246 3.246 3.562
3.246 -3.246 3.562
3.246 3.246 -3.562
Hf Cr O
4 2 2
Cartesian
4.869 0.934 -0.891
0.934 1.623 0.891
-1.623 2.312 2.672
2.312 1.623 4.453
3.246 0.000 1.781
0.000 0.000 3.562
0.000 0.000 0.000
0.000 3.246 1.781
```

Results
* crystal system: tetragonal
* final energy: -8.80 eV per atom
* space-group type: I-42d (122)